Computed, not measured: a relaxed structure of MgFe2PbO6 at the PBE+U level of DFT.

Values from the calculation:
Its calculated volume is 11.560 Å³ per atom. As for the crystal system: trigonal. The space group is R3 (146). As for the uncorrected energy: -6.141 eV per atom.

Cell lengths 5.639, 5.639, 5.639 Å; angles 56.18, 56.18, 56.18 degrees
Sites, in units of the cell vectors:
Mg  0.000  0.000  0.000
Fe  0.293  0.293  0.293
Fe  0.786  0.786  0.786
Pb  0.504  0.504  0.504
O  0.076  0.685  0.411
O  0.171  0.584  0.924
O  0.411  0.076  0.685
O  0.584  0.924  0.171
O  0.685  0.411  0.076
O  0.924  0.171  0.584